## Tb3Ho2TmSe6 (PBE)

Data for a relaxed Tb3Ho2TmSe6 crystal.

a b c (Å): 4.055 8.175 9.105
angles (deg): 103.49 102.87 90.00
Positions (direct):
Tm (0.500, 0.000, 0.000)
Se (0.999, 0.755, 0.999)
Se (0.667, 0.581, 0.334)
Se (0.336, 0.915, 0.671)
Se (0.664, 0.085, 0.329)
Se (0.001, 0.245, 0.001)
Se (0.333, 0.419, 0.666)
Tb (0.168, 0.833, 0.335)
Tb (0.832, 0.167, 0.665)
Tb (0.500, 0.500, 0.000)
Ho (0.832, 0.666, 0.665)
Ho (0.168, 0.334, 0.335)

Calculated values
calculated total energy	-5.773	eV/atom
formation energy without anion corrections	-1.738	eV/atom

## Tb3HoTm2Se6 (PBE)

Data for a relaxed Tb3HoTm2Se6 crystal.

a b c (Å): 7.023 7.023 7.077
angles (deg): 99.48 99.48 120.36
Positions (direct):
Se (0.255, 0.255, 0.757)
Se (0.081, 0.417, 0.244)
Se (0.919, 0.583, 0.756)
Se (0.745, 0.745, 0.243)
Se (0.583, 0.919, 0.756)
Se (0.417, 0.081, 0.244)
Tb (0.165, 0.835, 0.500)
Tb (0.500, 0.500, 0.500)
Tb (0.835, 0.165, 0.500)
Tm (0.334, 0.666, 0.000)
Tm (0.666, 0.334, 0.000)
Ho (0.000, 0.000, 0.000)

Calculated values
calculated total energy	-5.756	eV/atom
formation energy without anion corrections	-1.729	eV/atom

## TbHoTm4Se8 (PBE)

Data for a relaxed TbHoTm4Se8 crystal.

a b c (Å): 8.337 8.337 8.346
angles (deg): 60.04 60.04 60.00
Positions (direct):
Se (0.758, 0.758, 0.727)
Se (0.776, 0.243, 0.738)
Se (0.756, 0.756, 0.260)
Se (0.756, 0.229, 0.260)
Se (0.243, 0.243, 0.738)
Se (0.243, 0.776, 0.738)
Se (0.229, 0.756, 0.260)
Se (0.241, 0.241, 0.278)
Tm (0.501, 0.000, 0.500)
Tm (0.625, 0.625, 0.124)
Tm (0.000, 0.000, 0.500)
Tm (0.000, 0.501, 0.500)
Tb (0.375, 0.375, 0.876)
Ho (0.000, 0.000, 0.001)

Calculated values
calculated total energy	-5.617	eV/atom
formation energy without anion corrections	-1.690	eV/atom

## TbHo2Tm3Se6 (PBE)

Data for a relaxed TbHo2Tm3Se6 crystal.

a b c (Å): 4.027 8.125 9.047
angles (deg): 103.55 102.86 90.00
Positions (direct):
Se (0.001, 0.745, 0.001)
Se (0.331, 0.919, 0.662)
Se (0.334, 0.415, 0.668)
Se (0.666, 0.585, 0.332)
Se (0.999, 0.255, 0.999)
Se (0.669, 0.081, 0.338)
Ho (0.166, 0.332, 0.332)
Ho (0.834, 0.668, 0.668)
Tm (0.500, 0.500, 0.000)
Tm (0.834, 0.167, 0.669)
Tm (0.166, 0.833, 0.331)
Tb (0.500, 0.000, 0.000)

Calculated values
calculated total energy	-5.708	eV/atom
formation energy without anion corrections	-1.699	eV/atom

## Tb2HoTmSe5 (PBE)

Data for a relaxed Tb2HoTmSe5 crystal.

a b c (Å): 5.089 5.089 10.651
angles (deg): 90.00 90.00 90.00
Positions (direct):
Se (0.500, 0.000, 0.500)
Se (0.000, 0.000, 0.247)
Se (0.500, 0.500, 0.000)
Se (0.000, 0.000, 0.753)
Se (0.000, 0.500, 0.500)
Ho (0.000, 0.000, 0.000)
Tm (0.000, 0.000, 0.500)
Tb (0.500, 0.500, 0.335)
Tb (0.500, 0.500, 0.665)

Calculated values
calculated total energy	-5.125	eV/atom
formation energy without anion corrections	-1.154	eV/atom

## Tb2HoTm3Se6 (PBE)

Data for a relaxed Tb2HoTm3Se6 crystal.

a b c (Å): 4.031 8.143 9.066
angles (deg): 103.65 102.85 90.00
Positions (direct):
Se (0.002, 0.748, 0.004)
Se (0.667, 0.078, 0.334)
Se (0.333, 0.922, 0.666)
Se (0.665, 0.587, 0.329)
Se (0.998, 0.252, 0.996)
Se (0.335, 0.413, 0.671)
Tm (0.832, 0.167, 0.664)
Tm (0.500, 0.500, 0.000)
Tm (0.168, 0.833, 0.336)
Ho (0.500, 0.000, 0.000)
Tb (0.167, 0.334, 0.335)
Tb (0.833, 0.666, 0.665)

Calculated values
calculated total energy	-5.722	eV/atom
formation energy without anion corrections	-1.708	eV/atom

## TbHo2TmSe6 (PBE)

Data for a relaxed TbHo2TmSe6 crystal.

a b c (Å): 7.170 7.170 7.675
angles (deg): 62.15 62.15 59.99
Positions (direct):
Se (0.614, 0.221, 0.253)
Se (0.419, 0.723, 0.750)
Se (0.723, 0.107, 0.750)
Se (0.221, 0.913, 0.253)
Se (0.913, 0.614, 0.253)
Se (0.107, 0.419, 0.750)
Ho (0.513, 0.513, 0.460)
Ho (0.014, 0.014, 0.957)
Tb (0.318, 0.318, 0.047)
Tm (0.819, 0.819, 0.542)

Calculated values
calculated total energy	-5.764	eV/atom
formation energy without anion corrections	-1.848	eV/atom

## TbHo3Tm2Se6 (PBE)

Data for a relaxed TbHo3Tm2Se6 crystal.

a b c (Å): 7.014 7.014 7.030
angles (deg): 99.52 99.52 120.36
Positions (direct):
Ho (0.162, 0.838, 0.500)
Ho (0.838, 0.162, 0.500)
Ho (0.500, 0.500, 0.500)
Se (0.256, 0.256, 0.753)
Se (0.744, 0.744, 0.247)
Se (0.083, 0.422, 0.250)
Se (0.917, 0.578, 0.750)
Se (0.422, 0.083, 0.250)
Se (0.578, 0.917, 0.750)
Tb (0.000, 0.000, 0.000)
Tm (0.666, 0.334, 0.000)
Tm (0.334, 0.666, 0.000)

Calculated values
calculated total energy	-5.728	eV/atom
formation energy without anion corrections	-1.711	eV/atom

## Tb2HoTmSe4 (PBE)

Data for a relaxed Tb2HoTmSe4 crystal.

a b c (Å): 4.010 7.134 7.017
angles (deg): 71.21 90.00 90.00
Positions (direct):
Se (0.000, 0.255, 0.250)
Se (0.500, 0.743, 0.254)
Se (0.000, 0.745, 0.750)
Se (0.500, 0.257, 0.746)
Tb (0.000, 0.000, 0.000)
Tb (0.500, 0.000, 0.500)
Tm (0.000, 0.500, 0.500)
Ho (0.500, 0.500, 0.000)

Calculated values
calculated total energy	-5.761	eV/atom
formation energy without anion corrections	-1.730	eV/atom

## Tb4HoTmSe8 (PBE)

Data for a relaxed Tb4HoTmSe8 crystal.

a b c (Å): 8.420 8.420 8.411
angles (deg): 59.96 59.96 60.00
Positions (direct):
Se (0.225, 0.761, 0.253)
Se (0.244, 0.244, 0.268)
Se (0.761, 0.225, 0.253)
Se (0.761, 0.761, 0.253)
Se (0.757, 0.757, 0.729)
Se (0.240, 0.240, 0.748)
Se (0.772, 0.240, 0.748)
Se (0.240, 0.772, 0.748)
Tb (0.624, 0.624, 0.127)
Tb (0.499, 0.000, 0.500)
Tb (0.000, 0.000, 0.500)
Tb (0.000, 0.499, 0.500)
Ho (0.376, 0.376, 0.873)
Tm (0.000, 0.000, 0.999)

Calculated values
calculated total energy	-5.674	eV/atom
formation energy without anion corrections	-1.713	eV/atom

## TbY2Ho3Se6 (PBE)

Data for a relaxed TbY2Ho3Se6 crystal.

a b c (Å): 7.053 7.053 7.073
angles (deg): 99.53 99.53 120.35
Positions (direct):
Y (0.667, 0.333, 0.000)
Y (0.333, 0.667, 0.000)
Ho (0.500, 0.500, 0.500)
Ho (0.834, 0.166, 0.500)
Ho (0.166, 0.834, 0.500)
Se (0.418, 0.084, 0.253)
Se (0.084, 0.418, 0.253)
Se (0.916, 0.582, 0.747)
Se (0.751, 0.751, 0.253)
Se (0.249, 0.249, 0.747)
Se (0.582, 0.916, 0.747)
Tb (0.000, 0.000, 0.000)

Calculated values
calculated total energy	-6.096	eV/atom
formation energy without anion corrections	-1.746	eV/atom

## Tb2YHoSe4 (PBE)

Data for a relaxed Tb2YHoSe4 crystal.

a b c (Å): 4.036 7.093 7.107
angles (deg): 71.10 90.00 90.00
Positions (direct):
Ho (0.000, 0.500, 0.500)
Se (0.000, 0.252, 0.251)
Se (0.500, 0.253, 0.748)
Se (0.000, 0.748, 0.749)
Se (0.500, 0.747, 0.252)
Y (0.500, 0.500, 0.000)
Tb (0.500, 0.000, 0.500)
Tb (0.000, 0.000, 0.000)

Calculated values
calculated total energy	-6.036	eV/atom
formation energy without anion corrections	-1.756	eV/atom